(1)
## Tm8Co2Pd (PBE)

Data for crystalline Tm8Co2Pd at its relaxed geometry.

```
Tm8Co2Pd
1.0
4.1034 -6.1220 0.0000
4.1034 6.1220 0.0000
-1.6313 0.0000 5.4115
Tm Co Pd
8 2 1
direct
0.0000 0.0000 0.0000 Tm
0.0310 0.2952 0.5958 Tm
0.1418 0.5957 0.1888 Tm
0.2952 0.0310 0.5958 Tm
0.4404 0.7044 0.7846 Tm
0.5957 0.1418 0.1888 Tm
0.7044 0.4404 0.7846 Tm
0.7411 0.7411 0.3791 Tm
0.0590 0.6772 0.6887 Co
0.6772 0.0590 0.6887 Co
0.3699 0.3699 0.0793 Pd
```

The value obtained for the total magnetic moment is 0.0 μB per cell. Its space-group type is Cm, No. 8. The value obtained for the offset from the most stable computed form is 49.6 meV/atom. The energy relative to the elements is -0.210 eV/atom. The value obtained for the total DFT energy (no corrections) is -5.226 eV/atom.


(2)
## Tm8CoPd2 (PBE)

Data for crystalline Tm8CoPd2 at its relaxed geometry.

```
Tm8CoPd2
1.0
8.4728 -2.5023 0.0000
8.4728 2.5023 0.0000
-1.8911 0.0000 6.3380
Tm Co Pd
8 1 2
direct
0.0308 0.0308 0.2932 Tm
0.2026 0.2026 0.8131 Tm
0.3381 0.3381 0.5305 Tm
0.4102 0.4102 0.0655 Tm
0.5898 0.5898 0.9345 Tm
0.6619 0.6619 0.4695 Tm
0.7974 0.7974 0.1869 Tm
0.9692 0.9692 0.7068 Tm
0.5000 0.5000 0.5000 Co
0.1870 0.1870 0.2173 Pd
0.8130 0.8130 0.7827 Pd
```

The value obtained for the total magnetic moment is 0.0 μB per cell. Its space-group type is C2/m, No. 12. The value obtained for the offset from the most stable computed form is 0.0 meV/atom. The energy relative to the elements is -0.379 eV/atom. The value obtained for the total DFT energy (no corrections) is -5.221 eV/atom.


(3)
## Tm12Co2Pd5 (PBE)

Data for crystalline Tm12Co2Pd5 at its relaxed geometry.

```
Tm12Co2Pd5
1.0
7.9783 -3.6327 0.0000
7.9783 3.6327 0.0000
-2.3232 0.0000 8.3634
Tm Co Pd
12 2 5
direct
0.0015 0.0015 0.2553 Tm
0.0713 0.5979 0.4089 Tm
0.1064 0.5949 0.9318 Tm
0.4021 0.9287 0.5911 Tm
0.4051 0.8936 0.0682 Tm
0.4930 0.4930 0.6865 Tm
0.5070 0.5070 0.3135 Tm
0.5949 0.1064 0.9318 Tm
0.5979 0.0713 0.4089 Tm
0.8936 0.4051 0.0682 Tm
0.9287 0.4021 0.5911 Tm
0.9985 0.9985 0.7447 Tm
0.2096 0.7904 0.5000 Co
0.7904 0.2096 0.5000 Co
0.1922 0.1922 0.3346 Pd
0.2013 0.2013 0.8634 Pd
0.5000 0.5000 0.0000 Pd
0.7987 0.7987 0.1366 Pd
0.8078 0.8078 0.6654 Pd
```

The value obtained for the total magnetic moment is 0.0 μB per cell. Its space-group type is C2/m, No. 12. The energy relative to the elements is -0.492 eV/atom. The value obtained for the total DFT energy (no corrections) is -5.431 eV/atom.


(4)
## Tm12CoPd6 (PBE)

Data for crystalline Tm12CoPd6 at its relaxed geometry.

```
Tm12CoPd6
1.0
6.1322 3.5404 3.8420
-6.1322 3.5404 3.8420
0.0000 -7.0808 3.8420
Tm Co Pd
12 1 6
direct
0.0342 0.6854 0.9236 Tm
0.0764 0.9658 0.3146 Tm
0.1808 0.4182 0.5737 Tm
0.3146 0.0764 0.9658 Tm
0.4182 0.5737 0.1808 Tm
0.4263 0.8192 0.5818 Tm
0.5737 0.1808 0.4182 Tm
0.5818 0.4263 0.8192 Tm
0.6854 0.9236 0.0342 Tm
0.8192 0.5818 0.4263 Tm
0.9236 0.0342 0.6854 Tm
0.9658 0.3146 0.0764 Tm
0.0000 0.0000 0.0000 Co
0.1312 0.6246 0.3113 Pd
0.3113 0.1312 0.6246 Pd
0.3754 0.6887 0.8688 Pd
0.6246 0.3113 0.1312 Pd
0.6887 0.8688 0.3754 Pd
0.8688 0.3754 0.6887 Pd
```

The value obtained for the total magnetic moment is 0.0 μB per cell. Its space-group type is R-3, No. 148. The energy relative to the elements is -0.535 eV/atom. The value obtained for the total DFT energy (no corrections) is -5.373 eV/atom.


(5)
## Tm7Co2Pd2 (PBE)

Data for crystalline Tm7Co2Pd2 at its relaxed geometry.

```
Tm7Co2Pd2
1.0
3.7865 -5.2153 0.0000
3.7865 5.2153 0.0000
0.0000 0.0000 6.6807
Tm Co Pd
7 2 2
direct
0.0000 0.0000 0.0000 Tm
0.0000 0.5000 0.2551 Tm
0.0000 0.5000 0.7449 Tm
0.5000 0.0000 0.2551 Tm
0.5000 0.0000 0.7449 Tm
0.5000 0.5000 0.2479 Tm
0.5000 0.5000 0.7521 Tm
0.2889 0.7111 0.0000 Co
0.7111 0.2889 0.0000 Co
0.1884 0.1884 0.5000 Pd
0.8116 0.8116 0.5000 Pd
```

The value obtained for the total magnetic moment is 0.0 μB per cell. Its space-group type is Cmmm, No. 65. The value obtained for the offset from the most stable computed form is 128.5 meV/atom. The energy relative to the elements is -0.318 eV/atom. The value obtained for the total DFT energy (no corrections) is -5.399 eV/atom.


(6)
## Tm4Co2Pd (PBE)

Data for crystalline Tm4Co2Pd at its relaxed geometry.

```
Tm4Co2Pd
1.0
-4.1491 4.2098 4.2136
4.1491 -4.2098 4.2136
4.1491 4.2098 -4.2136
Tm Co Pd
8 4 2
direct
0.0047 0.8818 0.5127 Tm
0.1282 0.1198 0.1152 Tm
0.3718 0.4869 0.9916 Tm
0.4953 0.0080 0.8772 Tm
0.5047 0.0131 0.3848 Tm
0.6308 0.6182 0.6228 Tm
0.8692 0.4920 0.9873 Tm
0.9953 0.3802 0.5084 Tm
0.1290 0.7500 0.8790 Co
0.3710 0.2500 0.6210 Co
0.6191 0.3691 0.2500 Co
0.8809 0.1309 0.7500 Co
0.2500 0.6222 0.3722 Pd
0.7500 0.8778 0.1278 Pd
```

The value obtained for the total magnetic moment is 0.0 μB per cell. Its space-group type is I2_12_12_1, No. 24. The energy relative to the elements is -0.364 eV/atom. The value obtained for the total DFT energy (no corrections) is -5.691 eV/atom.


(7)
## YTmCoPd (PBE)

Data for crystalline YTmCoPd at its relaxed geometry.

```
YTmCoPd
1.0
0.0000 3.4102 3.4102
3.4102 0.0000 3.4102
3.4102 3.4102 0.0000
Y Tm Co Pd
1 1 1 1
direct
0.0000 0.0000 0.0000 Y
0.5000 0.5000 0.5000 Tm
0.7500 0.7500 0.7500 Co
0.2500 0.2500 0.2500 Pd
```

The value obtained for the total magnetic moment is 0.1 μB per cell. Its space-group type is F-43m, No. 216. The energy relative to the elements is -0.511 eV/atom. The value obtained for the total DFT energy (no corrections) is -6.320 eV/atom.


(8)
## TmZnCoPd (PBE)

Data for crystalline TmZnCoPd at its relaxed geometry.

```
TmZnCoPd
1.0
0.0000 3.1807 3.1807
3.1807 0.0000 3.1807
3.1807 3.1807 0.0000
Tm Zn Co Pd
1 1 1 1
direct
0.0000 0.0000 0.0000 Tm
0.5000 0.5000 0.5000 Zn
0.7500 0.7500 0.7500 Co
0.2500 0.2500 0.2500 Pd
```

The value obtained for the total magnetic moment is 0.0 μB per cell. Its space-group type is F-43m, No. 216. The energy relative to the elements is -0.396 eV/atom. The value obtained for the total DFT energy (no corrections) is -4.907 eV/atom.


(9)
## U2CoPd9 (PBE)

Data for crystalline U2CoPd9 at its relaxed geometry.

```
U2CoPd9
1.0
4.0876 0.0000 0.0000
0.0000 4.0876 0.0000
0.0000 0.0000 11.9777
U Co Pd
2 1 9
direct
0.0000 0.0000 0.1783 U
0.0000 0.0000 0.8217 U
0.0000 0.0000 0.5000 Co
0.0000 0.5000 0.0000 Pd
0.0000 0.5000 0.3428 Pd
0.0000 0.5000 0.6572 Pd
0.5000 0.0000 0.0000 Pd
0.5000 0.0000 0.3428 Pd
0.5000 0.0000 0.6572 Pd
0.5000 0.5000 0.1709 Pd
0.5000 0.5000 0.5000 Pd
0.5000 0.5000 0.8291 Pd
```

The value obtained for the total magnetic moment is 6.2 μB per cell. Its space-group type is P4/mmm, No. 123. The energy relative to the elements is -0.329 eV/atom. The value obtained for the total DFT energy (no corrections) is -6.697 eV/atom.


(10)
## U2CoPd (PBE)

Data for crystalline U2CoPd at its relaxed geometry.

```
U2CoPd
1.0
1.4877 0.8589 9.5731
-1.4877 0.8589 9.5731
0.0000 -1.7178 9.5731
U Co Pd
2 1 1
direct
0.0937 0.0937 0.0937 U
0.9063 0.9063 0.9063 U
0.5000 0.5000 0.5000 Co
0.0000 0.0000 0.0000 Pd
```

The value obtained for the total magnetic moment is 3.0 μB per cell. Its space-group type is R-3m, No. 166. The energy relative to the elements is 0.217 eV/atom. The value obtained for the total DFT energy (no corrections) is -8.502 eV/atom.


(11)
## UCoPd2 (PBE)

Data for crystalline UCoPd2 at its relaxed geometry.

```
UCoPd2
1.0
1.4218 0.8209 9.5304
-1.4218 0.8209 9.5304
0.0000 -1.6418 9.5304
U Co Pd
1 1 2
direct
0.0000 0.0000 0.0000 U
0.5000 0.5000 0.5000 Co
0.0944 0.0944 0.0944 Pd
0.9056 0.9056 0.9056 Pd
```

The value obtained for the total magnetic moment is 0.4 μB per cell. Its space-group type is R-3m, No. 166. The energy relative to the elements is 0.217 eV/atom. The value obtained for the total DFT energy (no corrections) is -6.978 eV/atom.


(12)
## UCoPd (PBE)

Data for crystalline UCoPd at its relaxed geometry.

```
UCoPd
1.0
-1.6341 1.6341 9.8364
1.6341 -1.6341 9.8364
1.6341 1.6341 -9.8364
U Co Pd
2 2 2
direct
0.2007 0.2007 0.0000 U
0.7993 0.7993 0.0000 U
0.3557 0.3557 0.0000 Co
0.6443 0.6443 0.0000 Co
0.0678 0.0678 0.0000 Pd
0.9322 0.9322 0.0000 Pd
```

The value obtained for the total magnetic moment is 0.0 μB per cell. Its space-group type is I4/mmm, No. 139. The value obtained for the offset from the most stable computed form is 125.5 meV/atom. The energy relative to the elements is 0.031 eV/atom. The value obtained for the total DFT energy (no corrections) is -7.831 eV/atom.